A plane-wave DFT calculation with GGA-PBE was carried out for Tb5Sb2Pd after structural relaxation.

## Properties
Total energy   -5.0637 eV per atom
Formation energy without anion corrections   -490 meV/atom

Cell and atoms, written as CIF:
```
data_Tb5Sb2Pd
_chemical_formula_sum 'Tb20 Sb8 Pd4'
_symmetry_space_group_name_H-M 'C m c m'
_symmetry_Int_Tables_number 63
_symmetry_space_group_name_Hall '-C 2c 2'
_cell_length_a 5.870
_cell_length_b 12.129
_cell_length_c 13.899
_cell_angle_alpha 90.00
_cell_angle_beta 90.00
_cell_angle_gamma 90.00
loop_
_atom_site_label
_atom_site_type_symbol
_atom_site_fract_x
_atom_site_fract_y
_atom_site_fract_z
_atom_site_occupancy
Tb1 Tb 0.000 0.064 0.106 1
Tb2 Tb 0.000 0.360 0.750 1
Tb3 Tb 0.000 0.375 0.067 1
Sb1 Sb 0.000 0.192 0.593 1
Pd1 Pd 0.000 0.224 0.250 1
```

=====

A plane-wave DFT calculation with GGA-PBE was carried out for TbSbPd4 after structural relaxation.

## Properties
Total energy   -5.2001 eV per atom
Relative energy among the computed polymorphs   6.46 kcal/mol of atoms
Formation energy without anion corrections   -279 meV/atom

Cell and atoms, written as CIF:
```
data_TbSbPd4
_chemical_formula_sum 'Tb2 Sb2 Pd8'
_symmetry_space_group_name_H-M 'P 42/n m c'
_symmetry_Int_Tables_number 137
_cell_length_a 5.412
_cell_length_b 5.412
_cell_length_c 9.000
_cell_angle_alpha 90.00
_cell_angle_beta 90.00
_cell_angle_gamma 90.00
loop_
_symmetry_equiv_pos_as_xyz
'x,y,z'
'-x,-y,-z'
'-y+1/2,x,z+1/2'
'y+1/2,-x,-z+1/2'
'-x+1/2,-y+1/2,z'
'x+1/2,y+1/2,-z'
'y,-x+1/2,z+1/2'
'-y,x+1/2,-z+1/2'
'x+1/2,-y,-z'
'-x+1/2,y,z'
'-y,-x,-z+1/2'
'y,x,z+1/2'
'-x,y+1/2,-z'
'x,-y+1/2,z'
'y+1/2,x+1/2,-z+1/2'
'-y+1/2,-x+1/2,z+1/2'
loop_
_atom_site_label
_atom_site_type_symbol
_atom_site_fract_x
_atom_site_fract_y
_atom_site_fract_z
_atom_site_occupancy
Tb1 Tb 0.250 0.750 0.250 1
Sb1 Sb 0.250 0.750 0.750 1
Pd1 Pd 0.014 0.250 0.014 1
```

=====

A plane-wave DFT calculation with GGA-PBE was carried out for TbSbPd2 after structural relaxation.

## Properties
Total energy   -5.4850 eV per atom
Formation energy without anion corrections   -700 meV/atom

Cell and atoms, written as CIF:
```
data_TbSbPd2
_chemical_formula_sum 'Tb1 Sb1 Pd2'
_symmetry_space_group_name_H-M 'P m m m'
_symmetry_Int_Tables_number 47
_symmetry_space_group_name_Hall '-P 2 2'
_cell_length_a 3.490
_cell_length_b 4.394
_cell_length_c 5.704
_cell_angle_alpha 90.00
_cell_angle_beta 90.00
_cell_angle_gamma 90.00
loop_
_atom_site_label
_atom_site_type_symbol
_atom_site_fract_x
_atom_site_fract_y
_atom_site_fract_z
_atom_site_occupancy
Tb1 Tb 0.000 0.000 0.000 1
Sb1 Sb 0.500 0.000 0.500 1
Pd1 Pd 0.500 0.500 0.236 1
```

=====

A plane-wave DFT calculation with GGA-PBE was carried out for Tb2SbPd9 after structural relaxation.

## Properties
Total energy   -5.7231 eV per atom
Formation energy without anion corrections   -713 meV/atom

Cell and atoms, written as CIF:
```
data_Tb2SbPd9
_chemical_formula_sum 'Tb2 Sb1 Pd9'
_symmetry_space_group_name_H-M 'P 4/m m m'
_symmetry_Int_Tables_number 123
_symmetry_space_group_name_Hall '-P 4 2'
_cell_length_a 4.114
_cell_length_b 4.114
_cell_length_c 12.264
_cell_angle_alpha 90.00
_cell_angle_beta 90.00
_cell_angle_gamma 90.00
loop_
_atom_site_label
_atom_site_type_symbol
_atom_site_fract_x
_atom_site_fract_y
_atom_site_fract_z
_atom_site_occupancy
Tb1 Tb 0.000 0.000 0.166 1
Sb1 Sb 0.000 0.000 0.500 1
Pd1 Pd 0.000 0.500 0.000 1
Pd2 Pd 0.000 0.500 0.341 1
Pd3 Pd 0.500 0.500 0.173 1
Pd4 Pd 0.500 0.500 0.500 1
```

=====

A plane-wave DFT calculation with GGA-PBE was carried out for Tb3Sb4Pd8 after structural relaxation.

## Properties
Total energy   -5.6279 eV per atom
Formation energy without anion corrections   -833 meV/atom

Cell and atoms, written as CIF:
```
data_Tb3Sb4Pd8
_chemical_formula_sum 'Tb24 Sb32 Pd64'
_symmetry_space_group_name_H-M 'F m -3 m'
_symmetry_Int_Tables_number 225
_symmetry_space_group_name_Hall '-F 4 2 3'
_cell_length_a 13.287
_cell_length_b 13.287
_cell_length_c 13.287
_cell_angle_alpha 90.00
_cell_angle_beta 90.00
_cell_angle_gamma 90.00
loop_
_atom_site_label
_atom_site_type_symbol
_atom_site_fract_x
_atom_site_fract_y
_atom_site_fract_z
_atom_site_occupancy
Tb1 Tb 0.000 0.000 0.225 1
Sb1 Sb 0.000 0.000 0.000 1
Sb2 Sb 0.000 0.000 0.500 1
Sb3 Sb 0.000 0.250 0.250 1
Pd1 Pd 0.119 0.119 0.381 1
Pd2 Pd 0.167 0.167 0.167 1
```

=====

A plane-wave DFT calculation with GGA-PBE was carried out for Tb3Sb2Pd7 after structural relaxation.

## Properties
Total energy   -5.6408 eV per atom
Formation energy without anion corrections   -767 meV/atom

Cell and atoms, written as CIF:
```
data_Tb3Sb2Pd7
_chemical_formula_sum 'Tb6 Sb4 Pd14'
_symmetry_space_group_name_H-M 'I 4/m m m'
_symmetry_Int_Tables_number 139
_symmetry_space_group_name_Hall '-I 4 2'
_cell_length_a 4.116
_cell_length_b 4.116
_cell_length_c 28.663
_cell_angle_alpha 90.00
_cell_angle_beta 90.00
_cell_angle_gamma 90.00
loop_
_atom_site_label
_atom_site_type_symbol
_atom_site_fract_x
_atom_site_fract_y
_atom_site_fract_z
_atom_site_occupancy
Tb1 Tb 0.000 0.000 0.000 1
Tb2 Tb 0.000 0.000 0.177 1
Sb1 Sb 0.000 0.000 0.369 1
Pd1 Pd 0.000 0.000 0.274 1
Pd2 Pd 0.000 0.000 0.500 1
Pd3 Pd 0.000 0.500 0.073 1
```

=====

A plane-wave DFT calculation with GGA-PBE was carried out for TbSbPd6 after structural relaxation.

## Properties
Total energy   -5.2909 eV per atom
Relative energy among the computed polymorphs   7.14 kcal/mol of atoms
Formation energy without anion corrections   -302 meV/atom

Cell and atoms, written as CIF:
```
data_TbSbPd6
_chemical_formula_sum 'Tb3 Sb3 Pd18'
_symmetry_space_group_name_H-M 'R -3 m'
_symmetry_Int_Tables_number 166
_symmetry_space_group_name_Hall '-R 3 2"'
_cell_length_a 5.4683
_cell_length_b 5.4683
_cell_length_c 20.4333
_cell_angle_alpha 90.00
_cell_angle_beta 90.00
_cell_angle_gamma 120.00
loop_
_atom_site_label
_atom_site_type_symbol
_atom_site_fract_x
_atom_site_fract_y
_atom_site_fract_z
_atom_site_occupancy
Tb1 Tb 0.0000 0.0000 0.0000 1
Sb1 Sb 0.0000 0.0000 0.5000 1
Pd1 Pd 0.0070 0.5035 0.9339 1
```

=====

A plane-wave DFT calculation with GGA-PBE was carried out for TbSb2Pd8 after structural relaxation.

## Properties
Total energy   -5.4179 eV per atom
Formation energy without anion corrections   -471 meV/atom

Cell and atoms, written as CIF:
```
data_TbSb2Pd8
_chemical_formula_sum 'Tb2 Sb4 Pd16'
_symmetry_space_group_name_H-M 'C 1 2/m 1'
_symmetry_Int_Tables_number 12
_symmetry_space_group_name_Hall '-C 2y'
_cell_length_a 7.673
_cell_length_b 12.090
_cell_length_c 4.683
_cell_angle_alpha 90.00
_cell_angle_beta 111.38
_cell_angle_gamma 90.00
loop_
_atom_site_label
_atom_site_type_symbol
_atom_site_fract_x
_atom_site_fract_y
_atom_site_fract_z
_atom_site_occupancy
Tb1 Tb 0.000 0.000 0.000 1
Sb1 Sb 0.000 0.317 0.500 1
Pd1 Pd 0.000 0.231 0.000 1
Pd2 Pd 0.107 0.500 0.824 1
Pd3 Pd 0.196 0.120 0.609 1
```

=====

A plane-wave DFT calculation with GGA-PBE was carried out for Tb2SbPd8 after structural relaxation.

## Properties
Total energy   -5.6464 eV per atom
Formation energy without anion corrections   -653 meV/atom

Cell and atoms, written as CIF:
```
data_Tb2SbPd8
_chemical_formula_sum 'Tb4 Sb2 Pd16'
_symmetry_space_group_name_H-M 'I m m m'
_symmetry_Int_Tables_number 71
_symmetry_space_group_name_Hall '-I 2 2'
_cell_length_a 4.749
_cell_length_b 5.936
_cell_length_c 14.451
_cell_angle_alpha 90.00
_cell_angle_beta 90.00
_cell_angle_gamma 90.00
loop_
_atom_site_label
_atom_site_type_symbol
_atom_site_fract_x
_atom_site_fract_y
_atom_site_fract_z
_atom_site_occupancy
Tb1 Tb 0.000 0.000 0.187 1
Sb1 Sb 0.000 0.000 0.500 1
Pd1 Pd 0.000 0.252 0.000 1
Pd2 Pd 0.000 0.260 0.360 1
Pd3 Pd 0.000 0.500 0.184 1
```

=====

A plane-wave DFT calculation with GGA-PBE was carried out for TbSbPd2 after structural relaxation.

## Properties
Total energy   -5.5442 eV per atom
Formation energy without anion corrections   -760 meV/atom

Cell and atoms, written as CIF:
```
data_TbSbPd2
_chemical_formula_sum 'Tb1 Sb1 Pd2'
_symmetry_space_group_name_H-M 'P 4/m m m'
_symmetry_Int_Tables_number 123
_symmetry_space_group_name_Hall '-P 4 2'
_cell_length_a 4.448
_cell_length_b 4.448
_cell_length_c 4.086
_cell_angle_alpha 90.00
_cell_angle_beta 90.00
_cell_angle_gamma 90.00
loop_
_atom_site_label
_atom_site_type_symbol
_atom_site_fract_x
_atom_site_fract_y
_atom_site_fract_z
_atom_site_occupancy
Tb1 Tb 0.000 0.000 0.000 1
Sb1 Sb 0.500 0.500 0.000 1
Pd1 Pd 0.000 0.500 0.500 1
```

=====

A plane-wave DFT calculation with GGA-PBE was carried out for TcSbPd3 after structural relaxation.

## Properties
Total energy   -5.0703 eV per atom
Relative energy among the computed polymorphs   0.00 kcal/mol of atoms
Formation energy without anion corrections   943 meV/atom

Cell and atoms, written as CIF:
```
data_TcSbPd3
_chemical_formula_sum 'Tc1 Sb1 Pd3'
_symmetry_space_group_name_H-M 'P m -3 m'
_symmetry_Int_Tables_number 221
_symmetry_space_group_name_Hall '-P 4 2 3'
_cell_length_a 4.888
_cell_length_b 4.888
_cell_length_c 4.888
_cell_angle_alpha 90.00
_cell_angle_beta 90.00
_cell_angle_gamma 90.00
loop_
_atom_site_label
_atom_site_type_symbol
_atom_site_fract_x
_atom_site_fract_y
_atom_site_fract_z
_atom_site_occupancy
Tc1 Tc 0.000 0.000 0.000 1
Sb1 Sb 0.500 0.500 0.500 1
Pd1 Pd 0.000 0.500 0.500 1
```

=====

A plane-wave DFT calculation with GGA-PBE was carried out for TcSb6Pd after structural relaxation.

## Properties
Total energy   -5.1750 eV per atom
Relative energy among the computed polymorphs   0.00 kcal/mol of atoms
Formation energy without anion corrections   -138 meV/atom

Cell and atoms, written as CIF:
```
data_TcSb6Pd
_chemical_formula_sum 'Tc4 Sb24 Pd4'
_symmetry_space_group_name_H-M 'C 1 2/m 1'
_symmetry_Int_Tables_number 12
_symmetry_space_group_name_Hall '-C 2y'
_cell_length_a 13.348
_cell_length_b 9.502
_cell_length_c 9.444
_cell_angle_alpha 90.00
_cell_angle_beta 134.66
_cell_angle_gamma 90.00
loop_
_atom_site_label
_atom_site_type_symbol
_atom_site_fract_x
_atom_site_fract_y
_atom_site_fract_z
_atom_site_occupancy
Tc1 Tc 0.250 0.250 0.000 1
Sb1 Sb 0.005 0.155 0.664 1
Sb2 Sb 0.151 0.500 0.496 1
Sb3 Sb 0.154 0.341 0.150 1
Sb4 Sb 0.167 0.500 0.822 1
Pd1 Pd 0.250 0.250 0.500 1
```